The following is a DFT calculation (PBE) of a relaxed structure of Be3BOs.

Calculated values
* formation enthalpy at 0 K: 541 meV per atom
* raw total energy: -5.28 eV per atom
* ΔE to the lowest computed polymorph: 0 meV/atom

Cell and atoms, written as POSCAR:
```
Be3BOs
1.0
-0.3585 2.8252 -2.2154
-3.3323 0.5667 1.2620
1.3362 2.1715 2.5529
Be B Os
3 1 1
Cartesian
-1.6661 0.2834 0.6310
0.6681 1.0857 1.2765
-0.1793 1.4126 -1.1077
0.0000 0.0000 0.0000
-1.1773 2.7817 0.7998
```